Below is FeS2IF after structural relaxation, with properties calculated at the PBE with a Hubbard U level.

Structure (extended XYZ):
```
5
Lattice="4.4817 0.0000 0.0000 0.0000 4.4817 0.0000 0.0000 0.0000 5.7439" Properties=species:S:1:pos:R:3 pbc="T T T"
Fe 0.0000 0.0000 0.0000
S 0.0000 2.2408 0.0000
S 2.2408 0.0000 0.0000
I 0.0000 0.0000 2.8720
F 2.2408 2.2408 2.8720
```

Computed properties:
energy	-15.59	eV/cell
DOS(E_F)	1.167	states/eV/atom